No. 1
The following is a DFT calculation (PBE) of a relaxed structure of YTa3Bi.

Output
Crystal system: cubic
Formation enthalpy at 0 K (eV per atom): 1.75
Symmetry: Pm-3m
Calculated volume (A^3/atom): 27.795
Spin magnetization (μB/f.u.): 0.000
Raw total energy (eV/atom): -7.4285
Energy above the lowest structure with this stoichiometry (eV/atom): 0.000

a = 5.1798 Å, b = 5.1798 Å, c = 5.1798 Å
α = 90.00°, β = 90.00°, γ = 90.00°
With the nearest neighbours (Å) after each atom.
Atoms (fractional coordinates):
Ta1 0.0000 0.0000 0.5000  2 Bi 2.59
Ta2 0.5000 0.0000 0.0000  2 Bi 2.59
Ta3 0.0000 0.5000 0.0000  2 Bi 2.59
Bi1 0.0000 0.0000 0.0000  6 Ta 2.59
Y1 0.5000 0.5000 0.5000  12 Ta 3.66

---

No. 2
The following is a DFT calculation (PBE) of a relaxed structure of MgBeRu2.

Output
Crystal system: cubic
Formation enthalpy at 0 K (eV per atom): 0.07
Symmetry: F-43m
Calculated volume (A^3/atom): 13.384
Spin magnetization (μB/f.u.): 0.000
Raw total energy (eV/atom): -5.9004

a = 4.2305 Å, b = 4.2305 Å, c = 4.2305 Å
α = 60.00°, β = 60.00°, γ = 60.00°
With the nearest neighbours (Å) after each atom.
Atoms (fractional coordinates):
Ru1 0.0000 0.0000 0.0000  4 Mg 2.59, 4 Ru 2.59
Ru2 0.2500 0.2500 0.2500  4 Be 2.59, 4 Ru 2.59
Mg1 0.7500 0.7500 0.7500  4 Ru 2.59, 4 Be 2.59
Be1 0.5000 0.5000 0.5000  4 Mg 2.59, 4 Ru 2.59

---

No. 3
The following is a DFT calculation (PBE) of a relaxed structure of SbAu.

Output
Crystal system: trigonal
Symmetry: R-3m
Calculated volume (A^3/atom): 25.597
Spin magnetization (μB/f.u.): 0.000
Raw total energy (eV/atom): -3.5719
Formation energy (no corrections) (eV per atom): 0.13

a = 5.3301 Å, b = 5.3301 Å, c = 5.3301 Å
α = 58.09°, β = 58.09°, γ = 58.09°
With the nearest neighbours (Å) after each atom.
Atoms (fractional coordinates):
Sb1 0.6941 0.6941 0.6941  1 Au 2.68
Sb2 0.3059 0.3059 0.3059  1 Au 2.68
Au1 0.1036 0.1036 0.1036  1 Sb 2.68, 1 Au 2.74
Au2 0.8964 0.8964 0.8964  1 Sb 2.68, 1 Au 2.74

---

No. 4
The following is a DFT calculation (PBE) of a relaxed structure of Li3Ho3SbS8.

Output
Crystal system: trigonal
Symmetry: R-3m
Calculated volume (A^3/atom): 21.565
Spin magnetization (μB/f.u.): 0.000
Raw total energy (eV/atom): -5.2767
Formation energy (no corrections) (eV per atom): -1.50

a = 7.7816 Å, b = 7.7814 Å, c = 7.6326 Å
α = 120.66°, β = 90.00°, γ = 120.00°
With the nearest neighbours (Å) after each atom.
Atoms (fractional coordinates):
S1 0.2420 0.0019 0.7437  1 Sb 2.64, 2 Li 2.71-2.72, 2 Ho 2.74
S2 0.7599 0.0019 0.7437  1 Sb 2.64, 2 Li 2.71-2.72, 2 Ho 2.74
S3 0.2401 0.9981 0.2563  1 Sb 2.64, 2 Li 2.71-2.72, 2 Ho 2.74
S4 0.7580 0.5160 0.2563  1 Sb 2.64, 2 Li 2.72, 2 Ho 2.74
S5 0.7580 0.9981 0.2563  1 Sb 2.64, 2 Li 2.71-2.72, 2 Ho 2.74
S6 0.7494 0.4988 0.7481  3 Ho 2.72, 3 Li 2.73
S7 0.2420 0.4840 0.7437  1 Sb 2.64, 2 Li 2.72, 2 Ho 2.74
S8 0.2506 0.5012 0.2519  3 Ho 2.72, 3 Li 2.73
Li1 0.0000 0.5000 0.0000  6 S 2.71-2.73
Li2 0.0000 0.0000 0.0000  6 S 2.72-2.73
Li3 0.5000 0.5000 0.0000  6 S 2.71-2.73
Ho1 0.0000 0.5000 0.5000  6 S 2.72-2.74
Ho2 0.5000 0.5000 0.5000  6 S 2.72-2.74
Ho3 0.5000 0.0000 0.5000  6 S 2.72-2.74
Sb1 0.0000 0.0000 0.5000  6 S 2.64

---

No. 5
The following is a DFT calculation (PBE) of a relaxed structure of PmY3Er.

Output
Crystal system: monoclinic
Formation enthalpy at 0 K (eV per atom): 0.01
Symmetry: P2_1/m
Calculated volume (A^3/atom): 32.763
Spin magnetization (μB/f.u.): 0.000
Raw total energy (eV/atom): -5.7333
Energy above the lowest structure with this stoichiometry (eV/atom): 0.000

a = 5.6817 Å, b = 6.3154 Å, c = 9.6572 Å
α = 109.01°, β = 90.00°, γ = 90.00°
With the nearest neighbours (Å) after each atom.
Atoms (fractional coordinates):
Y1 0.7500 0.9352 0.1975  6 Y 3.53-3.67, 3 Er 3.53-3.62, 3 Pm 3.54-3.69
Y2 0.7500 0.5344 0.3984  4 Pm 3.53-3.68, 3 Er 3.54-3.68, 5 Y 3.56-3.66
Y3 0.2500 0.6686 0.0000  4 Er 3.52-3.65, 7 Y 3.53-3.67, 1 Pm 3.63
Y4 0.2500 0.0648 0.8025  6 Y 3.53-3.67, 3 Er 3.53-3.62, 3 Pm 3.54-3.69
Y5 0.7500 0.3314 0.0000  4 Er 3.52-3.65, 7 Y 3.53-3.67, 1 Pm 3.63
Y6 0.2500 0.4656 0.6016  4 Pm 3.53-3.68, 3 Er 3.54-3.68, 5 Y 3.56-3.66
Er1 0.7500 0.7319 0.8011  10 Y 3.52-3.68, 2 Pm 3.64-3.65
Er2 0.2500 0.2681 0.1989  10 Y 3.52-3.68, 2 Pm 3.64-3.65
Pm1 0.2500 0.8665 0.3978  8 Y 3.53-3.69, 2 Pm 3.56, 2 Er 3.64-3.65
Pm2 0.7500 0.1335 0.6022  8 Y 3.53-3.69, 2 Pm 3.56, 2 Er 3.64-3.65

---

No. 6
The following is a DFT calculation (PBE) of a relaxed structure of Rb2TbAgI6.

Output
Crystal system: monoclinic
Symmetry: P2_1/c
Calculated volume (A^3/atom): 42.940
Spin magnetization (μB/f.u.): 0.000
Raw total energy (eV/atom): -3.0701
Formation energy (no corrections) (eV per atom): -1.20

a = 8.3989 Å, b = 8.7176 Å, c = 11.7294 Å
α = 90.00°, β = 90.03°, γ = 90.00°
With the nearest neighbours (Å) after each atom.
Atoms (fractional coordinates):
Tb1 0.0000 0.5000 0.0000  6 I 3.06
Tb2 0.5000 0.0000 0.5000  6 I 3.06
I1 0.9146 0.5110 0.2537  1 Ag 2.98, 1 Tb 3.06
I2 0.1953 0.2081 0.0406  1 Tb 3.06, 1 Ag 3.17
I3 0.6953 0.2919 0.5406  1 Tb 3.06, 1 Ag 3.17
I4 0.4146 0.9890 0.7537  1 Ag 2.98, 1 Tb 3.06
I5 0.8047 0.7919 0.9594  1 Tb 3.06, 1 Ag 3.17
I6 0.3047 0.7081 0.4594  1 Tb 3.06, 1 Ag 3.17
I7 0.7945 0.8022 0.5430  1 Tb 3.06, 1 Ag 3.19
I8 0.7055 0.3022 0.9570  1 Tb 3.06, 1 Ag 3.19
I9 0.5854 0.0110 0.2463  1 Ag 2.98, 1 Tb 3.06
I10 0.2945 0.6978 0.0430  1 Tb 3.06, 1 Ag 3.19
I11 0.2055 0.1978 0.4570  1 Tb 3.06, 1 Ag 3.19
I12 0.0854 0.4890 0.7463  1 Ag 2.98, 1 Tb 3.06
Rb1 0.0222 0.9267 0.2509  8 I 3.71-4.07
Rb2 0.4778 0.4267 0.2491  8 I 3.71-4.07
Rb3 0.9778 0.0733 0.7491  8 I 3.71-4.07
Rb4 0.5222 0.5733 0.7509  8 I 3.71-4.07
Ag1 0.5000 0.0000 0.0000  6 I 2.98-3.19
Ag2 0.0000 0.5000 0.5000  6 I 2.98-3.19

---

No. 7
The following is a DFT calculation (PBE) of a relaxed structure of CeNdOs.

Output
Crystal system: trigonal
Formation enthalpy at 0 K (eV per atom): 0.03
Symmetry: P3m1
Calculated volume (A^3/atom): 25.823
Spin magnetization (μB/f.u.): 0.233
Raw total energy (eV/atom): -7.2763
Energy above the lowest structure with this stoichiometry (eV/atom): 0.148

a = 4.4621 Å, b = 4.4775 Å, c = 4.4775 Å
α = 120.00°, β = 90.00°, γ = 90.00°
With the nearest neighbours (Å) after each atom.
Atoms (fractional coordinates):
Os1 0.0447 0.0000 0.0000  3 Ce 2.74, 3 Nd 2.99
Ce1 0.2472 0.3333 0.6667  3 Os 2.74
Nd1 0.7081 0.6667 0.3333  3 Os 2.99, 3 Ce 3.30

---

No. 8
The following is a DFT calculation (PBE) of a relaxed structure of Tb8Dy4Tm3.

Output
Crystal system: monoclinic
Formation enthalpy at 0 K (eV per atom): 0.40
Symmetry: C2/m
Calculated volume (A^3/atom): 32.647
Spin magnetization (μB/f.u.): 0.001
Raw total energy (eV/atom): -4.1928
Energy above the lowest structure with this stoichiometry (eV/atom): 0.253

a = 6.7054 Å, b = 9.2101 Å, c = 9.2101 Å
α = 87.23°, β = 111.53°, γ = 111.53°
With the nearest neighbours (Å) after each atom.
Atoms (fractional coordinates):
Tb1 0.0000 0.6427 0.3573  7 Tb 3.54-3.67, 4 Tm 3.59-3.81, 2 Dy 3.60
Tb2 0.5103 0.2642 0.2642  3 Tm 3.18, 2 Tb 3.20-3.51, 2 Dy 3.45-3.49
Tb3 0.0057 0.7292 0.7292  3 Dy 3.19-3.45, 4 Tb 3.20-3.54, 1 Tm 3.21
Tb4 0.5000 0.7480 0.2520  3 Tm 3.15-3.33, 3 Dy 3.20-3.32
Tb5 0.5000 0.2520 0.7480  3 Tm 3.15-3.33, 3 Dy 3.20-3.32
Tb6 0.4897 0.7358 0.7358  3 Tm 3.18, 2 Tb 3.20-3.51, 2 Dy 3.45-3.49
Tb7 0.9943 0.2708 0.2708  3 Dy 3.19-3.45, 4 Tb 3.20-3.54, 1 Tm 3.21
Tb8 0.0000 0.3573 0.6427  7 Tb 3.54-3.67, 4 Tm 3.59-3.81, 2 Dy 3.60
Dy1 0.0000 0.0000 0.0000  2 Dy 3.35, 4 Tb 3.45-3.63
Dy2 0.5000 0.0000 0.0000  6 Tb 3.20-3.49, 2 Dy 3.35
Dy3 0.0000 0.5000 0.0000  4 Tb 3.19-3.32, 2 Tm 3.35
Dy4 0.0000 0.0000 0.5000  4 Tb 3.19-3.32, 2 Tm 3.35
Tm1 0.5000 0.0000 0.5000  4 Tb 3.18-3.33, 2 Dy 3.35
Tm2 0.5000 0.5000 0.0000  4 Tb 3.18-3.33, 2 Dy 3.35
Tm3 0.5000 0.5000 0.5000  6 Tb 3.15-3.21

---

No. 9
The following is a DFT calculation (PBE) of a relaxed structure of PmHgGe2.

Output
Crystal system: trigonal
Formation enthalpy at 0 K (eV per atom): 0.15
Symmetry: R-3m
Calculated volume (A^3/atom): 36.291
Spin magnetization (μB/f.u.): 0.000
Raw total energy (eV/atom): -3.4185
Energy above the lowest structure with this stoichiometry (eV/atom): 0.560

a = 4.9694 Å, b = 4.9694 Å, c = 7.3691 Å
α = 70.30°, β = 70.30°, γ = 60.00°
With the nearest neighbours (Å) after each atom.
Atoms (fractional coordinates):
Pm1 0.5000 0.5000 0.5000  6 Ge 2.97
Ge1 0.8708 0.8708 0.3876  1 Hg 2.63
Ge2 0.1292 0.1292 0.6124  1 Hg 2.63
Hg1 0.0000 0.0000 0.0000  2 Ge 2.63

---

No. 10
The following is a DFT calculation (PBE) of a relaxed structure of PbBrCl2.

Output
Crystal system: monoclinic
Symmetry: C2/m
Calculated volume (A^3/atom): 31.757
Spin magnetization (μB/f.u.): 0.995
Raw total energy (eV/atom): -2.8496
Energy above the lowest structure with this stoichiometry (eV/atom): 0.101
Formation energy (no corrections) (eV per atom): -0.58

a = 6.1217 Å, b = 6.1217 Å, c = 5.4924 Å
α = 76.49°, β = 76.49°, γ = 39.57°
With the nearest neighbours (Å) after each atom.
Atoms (fractional coordinates):
Br1 0.2500 0.2500 0.2500  2 Cl 2.95
Pb1 0.7500 0.7500 0.7500  4 Cl 2.91
Cl1 0.4262 0.4262 0.5599  2 Pb 2.91, 1 Br 2.95
Cl2 0.0738 0.0738 0.9401  2 Pb 2.91, 1 Br 2.95

---

No. 11
The following is a DFT calculation (PBE) of a relaxed structure of CsBa2SeCl.

Output
Crystal system: tetragonal
Symmetry: P4/mmm
Calculated volume (A^3/atom): 45.356
Spin magnetization (μB/f.u.): 0.001
Raw total energy (eV/atom): -2.9104
Formation energy (no corrections) (eV per atom): -0.90

a = 5.9563 Å, b = 6.3923 Å, c = 5.9563 Å
α = 90.00°, β = 90.00°, γ = 90.00°
With the nearest neighbours (Å) after each atom.
Atoms (fractional coordinates):
Ba1 0.0000 0.0000 0.5000  2 Cl 2.98
Ba2 0.5000 0.0000 0.0000  2 Cl 2.98
Cl1 0.0000 0.0000 0.0000  4 Ba 2.98, 2 Cs 3.20
Cs1 0.0000 0.5000 0.0000  2 Cl 3.20
Se1 0.5000 0.5000 0.5000  4 Cs 4.21, 8 Ba 4.37

---

No. 12
The following is a DFT calculation (PBE) of a relaxed structure of Sm6Y5Sc2.

Output
Crystal system: orthorhombic
Formation enthalpy at 0 K (eV per atom): 0.12
Symmetry: Pbam
Calculated volume (A^3/atom): 32.292
Spin magnetization (μB/f.u.): 0.000
Raw total energy (eV/atom): -5.5155

a = 3.5854 Å, b = 11.4377 Å, c = 20.4739 Å
α = 90.00°, β = 90.00°, γ = 90.00°
With the nearest neighbours (Å) after each atom.
Atoms (fractional coordinates):
Y1 0.5000 0.5826 0.2726  5 Sm 3.33-3.52, 4 Sc 3.44-3.58, 2 Y 3.59
Y2 0.5000 0.0826 0.2274  5 Sm 3.33-3.52, 4 Sc 3.44-3.58, 2 Y 3.59
Y3 0.5000 0.8066 0.0592  6 Sm 3.44-3.66, 2 Sc 3.55, 3 Y 3.59-3.71
Y4 0.5000 0.0000 0.5000  6 Sm 3.40-3.51, 4 Y 3.59-3.71
Y5 0.5000 0.6934 0.5592  6 Sm 3.44-3.66, 2 Sc 3.55, 3 Y 3.59-3.71
Y6 0.5000 0.4174 0.7274  5 Sm 3.33-3.52, 4 Sc 3.44-3.58, 2 Y 3.59
Y7 0.5000 0.5000 0.0000  6 Sm 3.40-3.51, 4 Y 3.59-3.71
Y8 0.5000 0.1934 0.9408  6 Sm 3.44-3.66, 2 Sc 3.55, 3 Y 3.59-3.71
Y9 0.5000 0.9174 0.7726  5 Sm 3.33-3.52, 4 Sc 3.44-3.58, 2 Y 3.59
Y10 0.5000 0.3066 0.4408  6 Sm 3.44-3.66, 2 Sc 3.55, 3 Y 3.59-3.71
Sm1 0.0000 0.4143 0.8674  1 Sc 3.18, 6 Y 3.38-3.44, 2 Sm 3.42
Sm2 0.0000 0.4320 0.5798  6 Y 3.51-3.66, 5 Sm 3.59-3.74, 1 Sc 3.80
Sm3 0.5000 0.3315 0.1433  2 Y 3.33-3.51, 4 Sm 3.42-3.59, 2 Sc 3.52
Sm4 0.0000 0.5680 0.4202  6 Y 3.51-3.66, 5 Sm 3.59-3.74, 1 Sc 3.80
Sm5 0.0000 0.0857 0.3674  1 Sc 3.18, 6 Y 3.38-3.44, 2 Sm 3.42
Sm6 0.0000 0.5857 0.1326  1 Sc 3.18, 6 Y 3.38-3.44, 2 Sm 3.42
Sm7 0.5000 0.8315 0.3567  2 Y 3.33-3.51, 4 Sm 3.42-3.59, 2 Sc 3.52
Sm8 0.0000 0.9143 0.6326  1 Sc 3.18, 6 Y 3.38-3.44, 2 Sm 3.42
Sm9 0.5000 0.6685 0.8567  2 Y 3.33-3.51, 4 Sm 3.42-3.59, 2 Sc 3.52
Sm10 0.5000 0.1685 0.6433  2 Y 3.33-3.51, 4 Sm 3.42-3.59, 2 Sc 3.52
Sm11 0.0000 0.0680 0.0798  6 Y 3.51-3.66, 5 Sm 3.59-3.74, 1 Sc 3.80
Sm12 0.0000 0.9320 0.9202  6 Y 3.51-3.66, 5 Sm 3.59-3.74, 1 Sc 3.80
Sc1 0.0000 0.3282 0.2915  3 Sm 3.18-3.52, 4 Y 3.44-3.55
Sc2 0.0000 0.1718 0.7915  3 Sm 3.18-3.52, 4 Y 3.44-3.55
Sc3 0.0000 0.8282 0.2085  3 Sm 3.18-3.52, 4 Y 3.44-3.55
Sc4 0.0000 0.6718 0.7085  3 Sm 3.18-3.52, 4 Y 3.44-3.55

---

Repeat the tenth record exactly.
The following is a DFT calculation (PBE) of a relaxed structure of PbBrCl2.

Output
Crystal system: monoclinic
Symmetry: C2/m
Calculated volume (A^3/atom): 31.757
Spin magnetization (μB/f.u.): 0.995
Raw total energy (eV/atom): -2.8496
Energy above the lowest structure with this stoichiometry (eV/atom): 0.101
Formation energy (no corrections) (eV per atom): -0.58

a = 6.1217 Å, b = 6.1217 Å, c = 5.4924 Å
α = 76.49°, β = 76.49°, γ = 39.57°
With the nearest neighbours (Å) after each atom.
Atoms (fractional coordinates):
Br1 0.2500 0.2500 0.2500  2 Cl 2.95
Pb1 0.7500 0.7500 0.7500  4 Cl 2.91
Cl1 0.4262 0.4262 0.5599  2 Pb 2.91, 1 Br 2.95
Cl2 0.0738 0.0738 0.9401  2 Pb 2.91, 1 Br 2.95

---

Q: Which of these has the lowest calculated volume?
A: MgBeRu2

---

What did the eighth record say?
The following is a DFT calculation (PBE) of a relaxed structure of Tb8Dy4Tm3.

Output
Crystal system: monoclinic
Formation enthalpy at 0 K (eV per atom): 0.40
Symmetry: C2/m
Calculated volume (A^3/atom): 32.647
Spin magnetization (μB/f.u.): 0.001
Raw total energy (eV/atom): -4.1928
Energy above the lowest structure with this stoichiometry (eV/atom): 0.253

a = 6.7054 Å, b = 9.2101 Å, c = 9.2101 Å
α = 87.23°, β = 111.53°, γ = 111.53°
With the nearest neighbours (Å) after each atom.
Atoms (fractional coordinates):
Tb1 0.0000 0.6427 0.3573  7 Tb 3.54-3.67, 4 Tm 3.59-3.81, 2 Dy 3.60
Tb2 0.5103 0.2642 0.2642  3 Tm 3.18, 2 Tb 3.20-3.51, 2 Dy 3.45-3.49
Tb3 0.0057 0.7292 0.7292  3 Dy 3.19-3.45, 4 Tb 3.20-3.54, 1 Tm 3.21
Tb4 0.5000 0.7480 0.2520  3 Tm 3.15-3.33, 3 Dy 3.20-3.32
Tb5 0.5000 0.2520 0.7480  3 Tm 3.15-3.33, 3 Dy 3.20-3.32
Tb6 0.4897 0.7358 0.7358  3 Tm 3.18, 2 Tb 3.20-3.51, 2 Dy 3.45-3.49
Tb7 0.9943 0.2708 0.2708  3 Dy 3.19-3.45, 4 Tb 3.20-3.54, 1 Tm 3.21
Tb8 0.0000 0.3573 0.6427  7 Tb 3.54-3.67, 4 Tm 3.59-3.81, 2 Dy 3.60
Dy1 0.0000 0.0000 0.0000  2 Dy 3.35, 4 Tb 3.45-3.63
Dy2 0.5000 0.0000 0.0000  6 Tb 3.20-3.49, 2 Dy 3.35
Dy3 0.0000 0.5000 0.0000  4 Tb 3.19-3.32, 2 Tm 3.35
Dy4 0.0000 0.0000 0.5000  4 Tb 3.19-3.32, 2 Tm 3.35
Tm1 0.5000 0.0000 0.5000  4 Tb 3.18-3.33, 2 Dy 3.35
Tm2 0.5000 0.5000 0.0000  4 Tb 3.18-3.33, 2 Dy 3.35
Tm3 0.5000 0.5000 0.5000  6 Tb 3.15-3.21